Entry from the Alexandria database: an optimized crystal structure of SiPtBr2 (PBE).

Calculated values
* uncorrected energy: -3.247 eV per atom
* crystal system: trigonal
* N(E_F): 0.285 states/eV per cell

Cell lengths 9.074, 9.074, 9.074 Å; angles 21.86, 21.86, 21.86 degrees
Fractional coordinates of all 4 atoms:
Pt (0.000, 0.000, 0.000)
Si (0.500, 0.500, 0.500)
Br (0.908, 0.908, 0.908)
Br (0.092, 0.092, 0.092)

=====

Entry from the Alexandria database: an optimized crystal structure of SiPtBr2 (PBE).

Calculated values
* uncorrected energy: -3.272 eV per atom
* crystal system: orthorhombic
* N(E_F): 1.203 states/eV per cell

Cell lengths 4.903, 4.873, 4.911 Å; angles 66.13, 78.61, 113.81 degrees
Fractional coordinates of all 4 atoms:
Br (0.000, 0.000, 0.000)
Br (0.500, 0.000, 0.500)
Pt (0.000, 0.500, 0.500)
Si (0.500, 0.500, 0.000)

=====

Entry from the Alexandria database: an optimized crystal structure of SiPt2Br (PBE).

Calculated values
* uncorrected energy: -4.804 eV per atom
* crystal system: tetragonal
* N(E_F): 8.026 states/eV per cell

Cell lengths 6.325, 6.325, 6.219 Å; angles 59.43, 59.43, 90.00 degrees
Fractional coordinates of all 8 atoms:
Pt (0.172, 0.625, 0.250)
Pt (0.578, 0.125, 0.250)
Pt (0.875, 0.828, 0.750)
Pt (0.375, 0.422, 0.750)
Br (0.000, 0.000, 0.000)
Br (0.750, 0.250, 0.500)
Si (0.250, 0.750, 0.500)
Si (0.500, 0.500, 0.000)

=====

Entry from the Alexandria database: an optimized crystal structure of SiPtBr2 (PBE).

Calculated values
* uncorrected energy: -3.188 eV per atom
* crystal system: tetragonal
* N(E_F): 0.039 states/eV per cell

Cell lengths 4.779, 4.779, 8.974 Å; angles 74.56, 74.56, 90.00 degrees
Fractional coordinates of all 8 atoms:
Pt (0.750, 0.250, 0.500)
Pt (0.000, 0.000, 0.000)
Br (0.375, 0.367, 0.750)
Br (0.117, 0.625, 0.250)
Br (0.633, 0.125, 0.250)
Br (0.875, 0.883, 0.750)
Si (0.500, 0.500, 0.000)
Si (0.250, 0.750, 0.500)

=====

Entry from the Alexandria database: an optimized crystal structure of SiPt2Br (PBE).

Calculated values
* uncorrected energy: -5.044 eV per atom
* crystal system: monoclinic
* N(E_F): 1.390 states/eV per cell

Cell lengths 3.656, 3.399, 6.558 Å; angles 89.86, 90.00, 90.00 degrees
Fractional coordinates of all 4 atoms:
Pt (0.000, 0.001, 0.052)
Pt (0.500, 0.002, 0.369)
Br (0.500, 0.996, 0.772)
Si (0.000, 0.501, 0.306)

=====

Entry from the Alexandria database: an optimized crystal structure of SiPtBr2 (PBE).

Calculated values
* uncorrected energy: -3.780 eV per atom
* crystal system: monoclinic
* N(E_F): 1.738 states/eV per cell

Cell lengths 6.137, 6.137, 5.433 Å; angles 97.78, 97.78, 33.79 degrees
Fractional coordinates of all 4 atoms:
Si (0.247, 0.247, 0.199)
Br (0.953, 0.953, 0.250)
Br (0.668, 0.668, 0.768)
Pt (0.633, 0.633, 0.284)

=====

Entry from the Alexandria database: an optimized crystal structure of SiPt2Br (PBE).

Calculated values
* uncorrected energy: -5.129 eV per atom
* crystal system: monoclinic
* N(E_F): 1.012 states/eV per cell

Cell lengths 3.890, 3.890, 6.455 Å; angles 97.38, 97.38, 59.70 degrees
Fractional coordinates of all 4 atoms:
Pt (0.756, 0.756, 0.598)
Pt (0.132, 0.132, 0.881)
Br (0.165, 0.165, 0.273)
Si (0.447, 0.447, 0.748)

=====

Entry from the Alexandria database: an optimized crystal structure of SiPtBr2 (PBE).

Calculated values
* uncorrected energy: -3.950 eV per atom
* crystal system: monoclinic
* N(E_F): 2.629 states/eV per cell

Cell lengths 3.650, 7.912, 8.537 Å; angles 30.04, 90.00, 90.00 degrees
Fractional coordinates of all 4 atoms:
Si (0.500, 0.773, 0.542)
Pt (0.000, 0.587, 0.561)
Br (0.500, 0.199, 0.371)
Br (0.000, 0.940, 0.026)

=====

Entry from the Alexandria database: an optimized crystal structure of Si2PtBr (PBE).

Calculated values
* uncorrected energy: -3.965 eV per atom
* crystal system: tetragonal
* N(E_F): 2.538 states/eV per cell

Cell lengths 4.614, 4.614, 4.614 Å; angles 119.16, 119.16, 91.45 degrees
Fractional coordinates of all 4 atoms:
Si (0.250, 0.750, 0.500)
Si (0.000, 0.000, 0.000)
Br (0.500, 0.500, 0.000)
Pt (0.750, 0.250, 0.500)

=====

Entry from the Alexandria database: an optimized crystal structure of SiPt2Br (PBE).

Calculated values
* uncorrected energy: -4.933 eV per atom
* crystal system: monoclinic
* N(E_F): 1.363 states/eV per cell

Cell lengths 3.120, 3.191, 7.229 Å; angles 91.85, 90.00, 90.00 degrees
Fractional coordinates of all 4 atoms:
Si (0.500, 0.250, 0.250)
Br (0.500, 0.750, 0.750)
Pt (0.000, 0.718, 0.433)
Pt (0.000, 0.782, 0.067)

=====

Entry from the Alexandria database: an optimized crystal structure of Si2PtBr (PBE).

Calculated values
* uncorrected energy: -4.210 eV per atom
* crystal system: orthorhombic
* N(E_F): 1.861 states/eV per cell

Cell lengths 6.064, 6.064, 6.064 Å; angles 152.13, 134.50, 54.21 degrees
Fractional coordinates of all 4 atoms:
Pt (0.250, 0.750, 0.500)
Br (0.750, 0.250, 0.500)
Si (0.453, 0.453, 0.000)
Si (0.047, 0.047, 0.000)

=====

Entry from the Alexandria database: an optimized crystal structure of SiPtBr2 (PBE).

Calculated values
* uncorrected energy: -3.120 eV per atom
* crystal system: tetragonal
* N(E_F): 1.332 states/eV per cell

Cell lengths 6.428, 6.428, 6.428 Å; angles 145.10, 145.10, 50.19 degrees
Fractional coordinates of all 4 atoms:
Br (0.000, 0.000, 0.000)
Br (0.250, 0.750, 0.500)
Si (0.750, 0.250, 0.500)
Pt (0.500, 0.500, 0.000)

=====

Entry from the Alexandria database: an optimized crystal structure of SiPtBr2 (PBE).

Calculated values
* uncorrected energy: -3.856 eV per atom
* crystal system: monoclinic
* N(E_F): 1.604 states/eV per cell

Cell lengths 9.407, 9.407, 4.017 Å; angles 77.97, 77.97, 16.99 degrees
Last column: magnetic moment on the atom in μB.
Fractional coordinates of all 4 atoms:
Br (0.401, 0.401, 0.103)  0.22
Br (0.099, 0.099, 0.397)  0.22
Pt (0.750, 0.750, 0.750)  0.00
Si (0.250, 0.250, 0.250)  0.00

=====

Entry from the Alexandria database: an optimized crystal structure of SiPt2Br (PBE).

Calculated values
* uncorrected energy: -4.779 eV per atom
* crystal system: tetragonal
* N(E_F): 2.131 states/eV per cell

Cell lengths 3.128, 3.128, 7.092 Å; angles 90.00, 90.00, 90.00 degrees
Fractional coordinates of all 4 atoms:
Br (0.500, 0.500, 0.750)
Pt (0.000, 0.000, 0.061)
Pt (0.000, 0.000, 0.439)
Si (0.500, 0.500, 0.250)

=====

Entry from the Alexandria database: an optimized crystal structure of SiPt2Br (PBE).

Calculated values
* uncorrected energy: -4.384 eV per atom
* crystal system: tetragonal
* N(E_F): 1.441 states/eV per cell

Cell lengths 6.453, 6.453, 6.453 Å; angles 147.75, 147.75, 46.26 degrees
Fractional coordinates of all 4 atoms:
Pt (0.000, 0.000, 0.000)
Pt (0.250, 0.750, 0.500)
Br (0.750, 0.250, 0.500)
Si (0.500, 0.500, 0.000)

=====

Entry from the Alexandria database: an optimized crystal structure of SiPt4Br (PBE).

Calculated values
* uncorrected energy: -4.733 eV per atom
* crystal system: cubic
* N(E_F): 6.276 states/eV per cell

Cell lengths 5.372, 5.372, 5.372 Å; angles 60.00, 60.00, 60.00 degrees
Fractional coordinates of all 6 atoms:
Pt (0.873, 0.376, 0.376)
Pt (0.376, 0.376, 0.873)
Pt (0.376, 0.873, 0.376)
Pt (0.376, 0.376, 0.376)
Si (0.750, 0.750, 0.750)
Br (0.000, 0.000, 0.000)

=====

Entry from the Alexandria database: an optimized crystal structure of SiPt2Br (PBE).

Calculated values
* uncorrected energy: -4.423 eV per atom
* crystal system: cubic
* N(E_F): 1.267 states/eV per cell

Cell lengths 4.569, 4.569, 4.569 Å; angles 60.00, 60.00, 60.00 degrees
Fractional coordinates of all 4 atoms:
Br (0.500, 0.500, 0.500)
Pt (0.250, 0.250, 0.250)
Pt (0.750, 0.750, 0.750)
Si (0.000, 0.000, 0.000)

=====

Entry from the Alexandria database: an optimized crystal structure of Si2PtBr (PBE).

Calculated values
* uncorrected energy: -5.017 eV per atom
* crystal system: monoclinic
* N(E_F): 0.712 states/eV per cell

Cell lengths 3.944, 3.944, 7.139 Å; angles 106.14, 106.14, 59.98 degrees
Fractional coordinates of all 4 atoms:
Pt (0.250, 0.250, 0.250)
Si (0.627, 0.627, 0.381)
Si (0.873, 0.873, 0.119)
Br (0.750, 0.750, 0.750)

=====

Entry from the Alexandria database: an optimized crystal structure of Si2PtBr (PBE).

Calculated values
* uncorrected energy: -3.983 eV per atom
* crystal system: tetragonal
* N(E_F): 2.152 states/eV per cell

Cell lengths 5.148, 3.744, 3.744 Å; angles 90.00, 90.00, 90.00 degrees
Fractional coordinates of all 4 atoms:
Pt (0.500, 0.000, 0.500)
Si (0.000, 0.500, 0.500)
Si (0.000, 0.000, 0.000)
Br (0.500, 0.500, 0.000)

=====

Entry from the Alexandria database: an optimized crystal structure of SiPt2Br (PBE).

Calculated values
* uncorrected energy: -4.951 eV per atom
* crystal system: trigonal
* N(E_F): 2.568 states/eV per cell

Cell lengths 8.466, 8.466, 8.466 Å; angles 21.35, 21.35, 21.35 degrees
Fractional coordinates of all 4 atoms:
Pt (0.518, 0.518, 0.518)
Pt (0.982, 0.982, 0.982)
Br (0.750, 0.750, 0.750)
Si (0.250, 0.250, 0.250)